# PBE+U CrH5O4, relaxed
# VASP energy, eV per atom: -5.582
# Theoretical density, g/cm3: 2.6
data_CrH5O4
_space_group_name_H-M_alt 'P 1'
_space_group_IT_number 1
_space_group_name_Hall 'P 1'
_cell_length_a 3.090
_cell_length_b 4.378
_cell_length_c 5.911
_cell_angle_alpha 77.27
_cell_angle_beta 90.00
_cell_angle_gamma 90.00
loop_
_atom_site_label
_atom_site_type_symbol
_atom_site_fract_x
_atom_site_fract_y
_atom_site_fract_z
_atom_site_occupancy
O1 O 0.000 0.332 0.329 1
O2 O 0.500 0.194 0.764 1
O3 O 0.000 0.763 0.595 1
O4 O 0.500 0.805 0.182 1
H1 H 0.500 0.411 0.780 1
H2 H 0.259 0.638 0.216 1
H3 H 0.741 0.638 0.216 1
H4 H 0.000 0.574 0.525 1
H5 H 0.500 0.046 0.919 1
Cr1 Cr 0.500 0.048 0.457 1